First-principles (PBE+U) data for crystalline MoRuNF2 at its relaxed geometry, as listed in the Alexandria database.

The value obtained for the energy above the lowest structure with this stoichiometry is 0.0 meV per atom. As for the final energy: -5.854 eV/atom.

The structure belongs to space group P4/mmm (No. 123); the cell edges are 4.3022, 4.3022 and 3.7730 Å and the angles 90.00°, 90.00° and 90.00°. Symmetry generates all atoms from Mo at (0.0000, 0.0000, 0.0000), Ru at (0.5000, 0.5000, 0.5000), N at (0.5000, 0.5000, 0.0000) and F at (0.0000, 0.5000, 0.5000).